Entry from Alexandria via LeMat-Bulk: a geometry-optimized BeZn4In structure (GGA-PBE).

a = 5.181 Å, b = 5.181 Å, c = 5.181 Å
α = 60.00°, β = 60.00°, γ = 60.00°
Atoms (fractional coordinates):
Be1 0.000 0.000 0.000
Zn1 0.374 0.374 0.374
Zn2 0.374 0.374 0.878
Zn3 0.374 0.878 0.374
Zn4 0.878 0.374 0.374
In1 0.750 0.750 0.750

Calculated values
Total magnetization, μB per formula unit: 0.000
Fermi-level density of states, states/eV per atom: 0.2560
Symmetry: F-43m
Formation energy from the elements, eV/atom: 0.303
Raw total energy, eV/atom: -1.6241


Entry from Alexandria via LeMat-Bulk: a geometry-optimized VBiSe2 structure (GGA-PBE).

a = 8.600 Å, b = 8.600 Å, c = 8.600 Å
α = 28.44°, β = 28.44°, γ = 28.44°
Atoms (fractional coordinates):
V1 0.000 0.000 0.000
Bi1 0.500 0.500 0.500
Se1 0.100 0.100 0.100
Se2 0.900 0.900 0.900

Calculated values
Total magnetization, μB per formula unit: 3.834
Fermi-level density of states, states/eV per atom: 1.1324
Symmetry: R-3m
Raw total energy, eV/atom: -4.7762


Entry from Alexandria via LeMat-Bulk: a geometry-optimized Be2CuOsPd structure (GGA-PBE).

a = 4.002 Å, b = 4.002 Å, c = 4.520 Å
α = 90.00°, β = 90.00°, γ = 90.00°
Atoms (fractional coordinates):
Be1 0.000 0.500 0.000
Be2 0.500 0.000 0.000
Cu1 0.000 0.000 0.500
Os1 0.500 0.500 0.500
Pd1 0.000 0.000 0.000

Calculated values
Total magnetization, μB per formula unit: 0.849
Fermi-level density of states, states/eV per atom: 0.4270
Symmetry: P4/mmm
Formation energy from the elements, eV/atom: 1.114
Raw total energy, eV/atom: -4.4798